A plane-wave DFT calculation with PBE-GGA was carried out for crystalline Tb4Dy6Th at its relaxed geometry.

The calculation puts the formation energy at 0.458 eV/atom. Its magnetization is 0.00 Bohr magnetons per cell. Its total DFT energy (no corrections) is -48.5 eV per formula unit. Its energy above the most stable polymorph in this dataset is 0.315 eV/atom.

It has space group I-42m (No. 121), with a = 7.591 Å, b = 7.591 Å, c = 13.089 Å, α = 90.00°, β = 90.00° and γ = 90.00°. The inequivalent atoms are Tb at (0.172, 0.172, 0.424), Dy at (0.000, 0.500, 0.000), Dy at (0.239, 0.239, 0.183) and Th at (0.000, 0.000, 0.000).


A plane-wave DFT calculation with PBE-GGA was carried out for crystalline TiTe2N at its relaxed geometry.

As for the formation energy without anion corrections: 2.58 eV/f.u. Its magnetization is 2.81 Bohr magnetons per cell. Its total DFT energy (no corrections) is -19.9 eV per formula unit.

It has space group I-42d (No. 122), with a = 5.780 Å, b = 5.780 Å, c = 11.577 Å, α = 90.00°, β = 90.00° and γ = 90.00°. The inequivalent atoms are Ti at (0.000, 0.000, 0.000), Te at (0.197, 0.250, 0.625) and N at (0.000, 0.000, 0.500).


A plane-wave DFT calculation with PBE-GGA was carried out for crystalline ErInNi4 at its relaxed geometry.

The calculation puts the formation energy at -0.406 eV/atom. Its magnetization is 0.00 Bohr magnetons per cell. Its total DFT energy (no corrections) is -32.9 eV per formula unit.

It has space group F-43m (No. 216), with a = 7.028 Å, b = 7.028 Å, c = 7.028 Å, α = 90.00°, β = 90.00° and γ = 90.00°. The inequivalent atoms are Er at (0.000, 0.000, 0.000), In at (0.250, 0.250, 0.750) and Ni at (0.124, 0.124, 0.376).


A plane-wave DFT calculation with PBE-GGA was carried out for crystalline DyTlGeSe4 at its relaxed geometry.

As for the formation energy without anion corrections: -6.16 eV/f.u. Its magnetization is 0.00 Bohr magnetons per cell. Its total DFT energy (no corrections) is -31.7 eV per formula unit.

It has space group P2_1/m (No. 11), with a = 6.766 Å, b = 6.994 Å, c = 8.991 Å, α = 90.00°, β = 107.20° and γ = 90.00°. The inequivalent atoms are Dy at (0.230, 0.250, 0.054), Tl at (0.243, 0.250, 0.563), Ge at (0.227, 0.750, 0.825), Se at (0.011, 0.511, 0.213), Se at (0.434, 0.750, 0.656) and Se at (0.439, 0.750, 0.087).


A plane-wave DFT calculation with PBE-GGA was carried out for crystalline NaSr2LiNi at its relaxed geometry.

The calculation puts the formation energy at 0.168 eV/atom. Its magnetization is 0.00 Bohr magnetons per cell. Its total DFT energy (no corrections) is -11.5 eV per formula unit. Its energy above the most stable polymorph in this dataset is 0.080 eV/atom.

It has space group P4/mmm (No. 123), with a = 5.771 Å, b = 5.771 Å, c = 5.483 Å, α = 90.00°, β = 90.00° and γ = 90.00°. The inequivalent atoms are Na at (0.000, 0.000, 0.000), Sr at (0.000, 0.500, 0.500), Li at (0.500, 0.500, 0.000) and Ni at (0.000, 0.000, 0.500).


A plane-wave DFT calculation with PBE-GGA was carried out for crystalline Pr3Zn6Pd5 at its relaxed geometry.

The calculation puts the formation energy at -0.619 eV/atom. Its magnetization is 0.00 Bohr magnetons per cell. Its total DFT energy (no corrections) is -56.6 eV per formula unit.

It has space group Pmmn (No. 59, origin choice 2), with a = 4.363 Å, b = 12.980 Å, c = 9.498 Å, α = 90.00°, β = 90.00° and γ = 90.00°. The inequivalent atoms are Pr at (0.250, 0.061, 0.249), Pr at (0.250, 0.750, 0.260), Zn at (0.250, 0.069, 0.589), Zn at (0.250, 0.250, 0.028), Zn at (0.250, 0.250, 0.453), Zn at (0.250, 0.606, 0.984), Pd at (0.250, 0.086, 0.867), Pd at (0.250, 0.636, 0.539) and Pd at (0.250, 0.750, 0.791).


A plane-wave DFT calculation with PBE-GGA was carried out for crystalline Rb2NaScW at its relaxed geometry.

The calculation puts the formation energy at 2.108 eV/atom. Its magnetization is 7.19 Bohr magnetons per cell. Its total DFT energy (no corrections) is -12.0 eV per formula unit.

It has space group P4/mmm (No. 123), with a = 7.034 Å, b = 7.034 Å, c = 6.244 Å, α = 90.00°, β = 90.00° and γ = 90.00°. The inequivalent atoms are Rb at (0.000, 0.500, 0.000), Na at (0.000, 0.000, 0.500), Sc at (0.000, 0.000, 0.000) and W at (0.500, 0.500, 0.500).


A plane-wave DFT calculation with PBE-GGA was carried out for crystalline ZrSc2Ni at its relaxed geometry.

The calculation puts the formation energy at -0.061 eV/atom. Its magnetization is 0.00 Bohr magnetons per cell. Its total DFT energy (no corrections) is -27.2 eV per formula unit. Its energy above the most stable polymorph in this dataset is 0.189 eV/atom.

It has space group P2/m (No. 10), with a = 3.322 Å, b = 4.273 Å, c = 5.805 Å, α = 90.00°, β = 104.21° and γ = 90.00°. The inequivalent atoms are Zr at (0.000, 0.000, 0.000), Sc at (0.392, 0.500, 0.727) and Ni at (0.000, 0.000, 0.500).


A plane-wave DFT calculation with PBE-GGA was carried out for crystalline NiMoIr2 at its relaxed geometry.

The calculation puts the formation energy at -0.071 eV/atom. Its magnetization is 0.00 Bohr magnetons per cell. Its total DFT energy (no corrections) is -34.6 eV per formula unit. Its energy above the most stable polymorph in this dataset is 0.193 eV/atom.

It has space group Cm (No. 8), with a = 9.005 Å, b = 2.727 Å, c = 4.661 Å, α = 90.00°, β = 100.01° and γ = 90.00°. The inequivalent atoms are Ni at (0.000, 0.000, 0.000), Mo at (0.247, 0.000, 0.743), Ir at (0.250, 0.500, 0.235) and Ir at (0.494, 0.000, 0.501).


A plane-wave DFT calculation with PBE-GGA was carried out for crystalline CsLaTcSb at its relaxed geometry.

As for the formation energy without anion corrections: 0.22 eV/f.u. Its magnetization is 0.00 Bohr magnetons per cell. Its total DFT energy (no corrections) is -20.0 eV per formula unit. Its energy above the most stable polymorph in this dataset is 0.098 eV/atom.

It has space group Amm2 (No. 38), with a = 5.185 Å, b = 5.050 Å, c = 14.002 Å, α = 90.00°, β = 90.00° and γ = 90.00°. The inequivalent atoms are Cs at (0.000, 0.000, 0.000), La at (0.500, 0.000, 0.748), Tc at (0.500, 0.000, 0.263) and Sb at (0.000, 0.000, 0.273).


A plane-wave DFT calculation with PBE-GGA was carried out for crystalline PmErBi at its relaxed geometry.

The calculation puts the formation energy at -0.235 eV/atom. Its magnetization is 0.00 Bohr magnetons per cell. Its total DFT energy (no corrections) is -13.9 eV per formula unit. Its energy above the most stable polymorph in this dataset is 0.379 eV/atom.

It has space group Immm (No. 71), with a = 4.016 Å, b = 6.878 Å, c = 14.214 Å, α = 90.00°, β = 90.00° and γ = 90.00°. The inequivalent atoms are Pm at (0.000, 0.000, 0.144), Er at (0.000, 0.500, 0.137) and Bi at (0.000, 0.250, 0.500).


A plane-wave DFT calculation with PBE-GGA was carried out for crystalline NiOsCl3 at its relaxed geometry.

As for the formation energy without anion corrections: 3.97 eV/f.u. Its magnetization is 2.25 Bohr magnetons per cell. Its total DFT energy (no corrections) is -18.6 eV per formula unit.

It has space group Pm-3m (No. 221), with a = 4.757 Å, b = 4.757 Å, c = 4.757 Å, α = 90.00°, β = 90.00° and γ = 90.00°. The inequivalent atoms are Ni at (0.000, 0.000, 0.000), Os at (0.500, 0.500, 0.500) and Cl at (0.000, 0.500, 0.500).


A plane-wave DFT calculation with PBE-GGA was carried out for crystalline Mn5Al2SiB2 at its relaxed geometry.

As for the formation energy without anion corrections: -3.17 eV/f.u. Its magnetization is 15.87 Bohr magnetons per cell. Its total DFT energy (no corrections) is -75.3 eV per formula unit.

It has space group P4/mbm (No. 127), with a = 8.781 Å, b = 8.781 Å, c = 2.799 Å, α = 90.00°, β = 90.00° and γ = 90.00°. The inequivalent atoms are Mn at (0.000, 0.500, 0.000), Mn at (0.065, 0.211, 0.000), Al at (0.178, 0.678, 0.500), Si at (0.000, 0.000, 0.500) and B at (0.127, 0.373, 0.500).